Below is an optimized crystal structure of FeSe2BrO, with properties calculated at the GGA+U level.

Cell and atoms, written as extended XYZ:
```
5
Lattice="-3.2849 -1.6003 1.8939 0.1583 -3.2727 -2.4907 3.6433 -2.8197 3.9366" Properties=species:S:1:pos:R:3 pbc="T T T"
O 0.0000 0.0000 0.0000
Se 0.0792 -1.6363 -1.2453
Se -1.6425 -0.8001 0.9470
Br 1.8217 -1.4098 1.9683
Fe 0.2583 -3.8463 1.6699
```

SG ... No. 123
Total moment ... 4.3 μB/f.u.
Electronic total energy ... -3.285 eV/atom
E above lowest polymorph ... 0.0 meV/atom
Fermi-level density of states ... 6.5 states/eV per cell